1.
Below is a PBEsol-optimized structure of LaMo3Pt, with properties calculated at the meta-GGA SCAN level.

Lattice parameters (Å, degrees): 4.6211 4.6211 4.6211 90.00 90.00 90.00
Space group Pm-3m (No. 221)
Symmetry-distinct sites (fractional):
La1 0.0000 0.0000 0.0000
Mo1 0.0000 0.0000 0.5000
Pt1 0.5000 0.5000 0.5000

Summary:
The value obtained for the total magnetization is 0.0 μB/f.u. Its density of states at the Fermi level is 0.82 states/eV/atom. Its uncorrected energy is -206.5 eV per cell. As for the energy of formation from the pure elements: 2.285 eV per atom.

2.
Below is a PBEsol-optimized structure of Ca9Cd4Bi9, with properties calculated at the meta-GGA SCAN level.

Lattice parameters (Å, degrees): 12.5840 22.2736 4.7318 90.00 90.00 90.00
Space group Pbam (No. 55)
Symmetry-distinct sites (fractional):
Ca1 0.0000 0.0000 0.0000
Ca2 0.0720 0.4129 0.5000
Ca3 0.1283 0.2335 0.5000
Ca4 0.1303 0.8648 0.5000
Ca5 0.2022 0.6014 0.0000
Cd1 0.1138 0.7610 0.0000
Cd2 0.2364 0.4541 0.0000
Bi1 0.0000 0.5000 0.0000
Bi2 0.0488 0.1432 0.0000
Bi3 0.1125 0.6873 0.5000
Bi4 0.1810 0.0161 0.5000
Bi5 0.1817 0.3284 0.0000

Summary:
The value obtained for the total magnetization is 0.0 μB/f.u. Its density of states at the Fermi level is 0.22 states/eV/atom. Its uncorrected energy is -1864.9 eV per cell. As for the energy of formation from the pure elements: -0.755 eV per atom.

3.
Below is a PBEsol-optimized structure of TaSiBi3, with properties calculated at the meta-GGA SCAN level.

Lattice parameters (Å, degrees): 5.4074 5.4074 5.4074 90.00 90.00 90.00
Space group Pm-3m (No. 221)
Symmetry-distinct sites (fractional):
Ta1 0.0000 0.0000 0.0000
Si1 0.5000 0.5000 0.5000
Bi1 0.0000 0.0000 0.5000

Summary:
The value obtained for the total magnetization is 0.9 μB/f.u. Its density of states at the Fermi level is 1.00 states/eV/atom. Its uncorrected energy is -307.0 eV per cell. The calculation puts the formation energy from raw total energies at 1.07 eV per atom.

4.
Below is a PBEsol-optimized structure of K3Y, with properties calculated at the meta-GGA SCAN level.

Lattice parameters (Å, degrees): 4.1727 6.5130 14.7859 90.00 90.00 90.00
Space group Cmmm (No. 65)
Symmetry-distinct sites (fractional):
K1 0.0000 0.0000 0.0000
K2 0.0000 0.5000 0.2719
Y1 0.0000 0.0000 0.5000

Summary:
The value obtained for the total magnetization is 1.1 μB/f.u. Its density of states at the Fermi level is 0.94 states/eV/atom. Its uncorrected energy is -102.9 eV per cell. As for the energy of formation from the pure elements: 0.347 eV per atom.